No. 1
DFT (PBE) results for a relaxed structure of SrLa2Cd9.

Cell and atoms, written as POSCAR:
```
SrLa2Cd9
1.0
-4.176 2.657 3.634
-5.981 -0.580 -1.262
-3.755 -7.331 6.231
Sr La Cd
1 2 9
direct
0.000 0.000 0.000
0.857 0.857 0.430
0.143 0.143 0.570
0.588 0.588 0.747
0.588 0.077 0.747
0.412 0.923 0.253
0.923 0.412 0.253
0.665 0.665 0.006
0.412 0.412 0.253
0.500 0.500 0.500
0.335 0.335 0.994
0.077 0.588 0.747
```

Results
The calculation puts the raw total energy at -1.921 eV per atom. The size of the total moment comes out at 0.0 μB/cell. As for the formation energy: -273.7 meV per atom. The calculation puts the volume at 316.7 Å³ per cell.

No. 2
DFT (PBE) results for a relaxed structure of YTmCd5.

Cell and atoms, written as POSCAR:
```
YTmCd5
1.0
-4.894 -1.427 0.218
0.392 -2.058 -4.653
1.887 -6.039 2.831
Tm Cd Y
1 5 1
direct
0.500 0.500 0.000
0.500 0.000 0.231
0.500 0.500 0.500
0.500 0.000 0.769
0.000 0.500 0.769
0.000 0.500 0.231
0.000 0.000 0.500
```

Results
The calculation puts the raw total energy at -2.303 eV per atom. The size of the total moment comes out at 0.0 μB/cell. As for the formation energy: -87.6 meV per atom. The calculation puts the volume at 180.5 Å³ per cell.

No. 3
DFT (PBE) results for a relaxed structure of Pm5PrSe8.

Cell and atoms, written as POSCAR:
```
Pm5PrSe8
1.0
-2.055 5.647 4.908
-4.860 0.151 -6.047
-0.440 -7.012 3.294
Se Pm Pr
8 5 1
direct
0.126 0.758 0.021
0.622 0.389 0.879
0.632 0.895 0.874
0.263 0.242 0.368
0.121 0.744 0.510
0.767 0.256 0.378
0.490 0.611 0.233
0.979 0.105 0.737
0.720 0.596 0.626
0.876 0.906 0.280
0.374 0.094 0.970
0.030 0.404 0.124
0.500 0.000 0.500
0.250 0.500 0.750
```

Results
The calculation puts the raw total energy at -5.887 eV per atom. The size of the total moment comes out at 0.0 μB/cell. The calculation puts the volume at 359.1 Å³ per cell. For the uncorrected formation energy, the calculation gives -1.858 eV/atom.

The lowest raw total energy belongs to which entry?
Pm5PrSe8

Which of these has the lowest raw total energy?
Pm5PrSe8

Number 2 is which compound?
YTmCd5

Look up the raw total energy of the third one.
-5.887 eV per atom